# CuAg7 (PBE, relaxed)
# Calculated total energy (eV per atom): -2.90
# Formation energy (meV per atom): 37
# Crystal system: orthorhombic
# Distance to the lowest polymorph of the same formula (eV/atom): 0.014
data_CuAg7
_symmetry_space_group_name_H-M 'C m m m'
_symmetry_Int_Tables_number 65
_symmetry_space_group_name_Hall '-C 2 2'
_cell_length_a 5.831
_cell_length_b 11.576
_cell_length_c 4.093
_cell_angle_alpha 90.00
_cell_angle_beta 90.00
_cell_angle_gamma 90.00
loop_
_atom_site_label
_atom_site_fract_x
_atom_site_fract_y
_atom_site_fract_z
_atom_site_occupancy
Cu1 0.000 0.000 0.000 1
Ag1 0.000 0.247 0.000 1
Ag2 0.000 0.500 0.000 1
Ag3 0.245 0.122 0.500 1

---

# Rb2ErTmS4 (PBE, relaxed)
# Calculated total energy (eV per atom): -5.29
# Crystal system: trigonal
data_Rb2ErTmS4
_symmetry_space_group_name_H-M 'P -3 m 1'
_symmetry_Int_Tables_number 164
_symmetry_space_group_name_Hall '-P 3 2"'
_cell_length_a 4.0211
_cell_length_b 4.0211
_cell_length_c 15.3384
_cell_angle_alpha 90.00
_cell_angle_beta 90.00
_cell_angle_gamma 120.00
loop_
_atom_site_label
_atom_site_fract_x
_atom_site_fract_y
_atom_site_fract_z
_atom_site_occupancy
Rb1 0.3333 0.6667 0.2499 1
Er1 0.0000 0.0000 0.5000 1
Tm1 0.0000 0.0000 0.0000 1
S1 0.3333 0.6667 0.5958 1
S2 0.3333 0.6667 0.9049 1

---

# TmLu3Sc2Te2Os (PBE, relaxed)
# Calculated total energy (eV per atom): -6.04
# Crystal system: orthorhombic
data_TmLu3Sc2Te2Os
_symmetry_space_group_name_H-M 'A m m 2'
_symmetry_Int_Tables_number 38
_symmetry_space_group_name_Hall 'A 2 -2'
_cell_length_a 3.940
_cell_length_b 13.973
_cell_length_c 7.991
_cell_angle_alpha 90.00
_cell_angle_beta 90.00
_cell_angle_gamma 90.00
loop_
_atom_site_label
_atom_site_fract_x
_atom_site_fract_y
_atom_site_fract_z
_atom_site_occupancy
Tm1 0.000 0.000 0.000 1
Lu1 0.500 0.000 0.627 1
Lu2 0.500 0.122 0.268 1
Sc1 0.000 0.192 0.578 1
Te1 0.500 0.169 0.884 1
Os1 0.000 0.000 0.384 1

---

# BaTbO3 (PBE, relaxed)
# Calculated total energy (eV per atom): -6.88
# Crystal system: monoclinic
data_BaTbO3
_symmetry_space_group_name_H-M 'P 1 2 1'
_symmetry_Int_Tables_number 3
_symmetry_space_group_name_Hall 'P 2y'
_cell_length_a 6.814
_cell_length_b 6.146
_cell_length_c 8.837
_cell_angle_alpha 90.00
_cell_angle_beta 95.43
_cell_angle_gamma 90.00
loop_
_atom_site_label
_atom_site_fract_x
_atom_site_fract_y
_atom_site_fract_z
_atom_site_occupancy
Ba1 0.199 0.000 0.348 1
Ba2 0.232 0.504 0.653 1
Tb1 0.210 0.537 0.124 1
Tb2 0.300 0.969 0.889 1
O1 0.113 0.679 0.891 1
O2 0.150 0.558 0.366 1
O3 0.174 0.077 0.668 1
O4 0.276 0.203 0.077 1
O5 0.442 0.776 0.161 1
O6 0.461 0.299 0.427 1

---

# Er4SiBr5 (PBE, relaxed)
# Calculated total energy (eV per atom): -4.62
# Crystal system: monoclinic
data_Er4SiBr5
_symmetry_space_group_name_H-M 'C 1 2/m 1'
_symmetry_Int_Tables_number 12
_symmetry_space_group_name_Hall '-C 2y'
_cell_length_a 17.973
_cell_length_b 4.002
_cell_length_c 8.281
_cell_angle_alpha 90.00
_cell_angle_beta 102.46
_cell_angle_gamma 90.00
loop_
_atom_site_label
_atom_site_fract_x
_atom_site_fract_y
_atom_site_fract_z
_atom_site_occupancy
Er1 0.000 0.000 0.220 1
Er2 0.150 0.500 0.078 1
Si1 0.000 0.500 0.000 1
Br1 0.000 0.500 0.500 1
Br2 0.167 0.000 0.329 1
Br3 0.173 0.000 0.839 1

---

# HoAuSO (PBE, relaxed)
# Calculated total energy (eV per atom): -6.08
# Crystal system: tetragonal
# Distance to the lowest polymorph of the same formula (eV/atom): 0.124
data_HoAuSO
_symmetry_space_group_name_H-M 'P 4 b m'
_symmetry_Int_Tables_number 100
_symmetry_space_group_name_Hall 'P 4 -2ab'
_cell_length_a 5.481
_cell_length_b 5.481
_cell_length_c 9.122
_cell_angle_alpha 90.00
_cell_angle_beta 90.00
_cell_angle_gamma 90.00
loop_
_atom_site_label
_atom_site_fract_x
_atom_site_fract_y
_atom_site_fract_z
_atom_site_occupancy
Ho1 0.000 0.000 0.000 1
Ho2 0.000 0.500 0.245 1
Au1 0.181 0.319 0.615 1
S1 0.000 0.000 0.410 1
S2 0.000 0.500 0.845 1
O1 0.249 0.251 0.124 1

---

# GdBeAsO (PBE, relaxed)
# Calculated total energy (eV per atom): -6.05
# Crystal system: orthorhombic
# Distance to the lowest polymorph of the same formula (eV/atom): 0.285
data_GdBeAsO
_symmetry_space_group_name_H-M 'P m c 21'
_symmetry_Int_Tables_number 26
_symmetry_space_group_name_Hall 'P 2c -2'
_cell_length_a 3.098
_cell_length_b 5.432
_cell_length_c 7.064
_cell_angle_alpha 90.00
_cell_angle_beta 90.00
_cell_angle_gamma 90.00
loop_
_atom_site_label
_atom_site_fract_x
_atom_site_fract_y
_atom_site_fract_z
_atom_site_occupancy
Gd1 0.000 0.160 0.000 1
Be1 0.500 0.300 0.353 1
As1 0.500 0.347 0.671 1
O1 0.000 0.181 0.317 1

---

# TlPd15 (PBE, relaxed)
# Calculated total energy (eV per atom): -5.00
# Crystal system: orthorhombic
# Distance to the lowest polymorph of the same formula (eV/atom): 0.000
data_TlPd15
_symmetry_space_group_name_H-M 'P m m a'
_symmetry_Int_Tables_number 51
_symmetry_space_group_name_Hall '-P 2a 2a'
_cell_length_a 3.912
_cell_length_b 3.913
_cell_length_c 43.924
_cell_angle_alpha 90.00
_cell_angle_beta 90.00
_cell_angle_gamma 90.00
loop_
_atom_site_label
_atom_site_fract_x
_atom_site_fract_y
_atom_site_fract_z
_atom_site_occupancy
Tl1 0.250 0.000 0.155 1
Pd1 0.250 0.000 0.254 1
Pd2 0.250 0.000 0.344 1
Pd3 0.250 0.000 0.433 1
Pd4 0.250 0.000 0.522 1
Pd5 0.250 0.000 0.611 1
Pd6 0.250 0.000 0.701 1
Pd7 0.250 0.000 0.792 1
Pd8 0.250 0.500 0.207 1
Pd9 0.250 0.500 0.299 1
Pd10 0.250 0.500 0.389 1
Pd11 0.250 0.500 0.478 1
Pd12 0.250 0.500 0.567 1
Pd13 0.250 0.500 0.656 1
Pd14 0.250 0.500 0.747 1
Pd15 0.250 0.500 0.839 1

---

# LaDySbI2 (PBE, relaxed)
# Calculated total energy (eV per atom): -4.69
# Crystal system: trigonal
data_LaDySbI2
_symmetry_space_group_name_H-M 'P 3 m 1'
_symmetry_Int_Tables_number 156
_symmetry_space_group_name_Hall 'P 3 -2"'
_cell_length_a 4.4488
_cell_length_b 4.4488
_cell_length_c 11.4815
_cell_angle_alpha 90.00
_cell_angle_beta 90.00
_cell_angle_gamma 120.00
loop_
_atom_site_label
_atom_site_fract_x
_atom_site_fract_y
_atom_site_fract_z
_atom_site_occupancy
La1 0.0000 0.0000 0.0000 1
Dy1 0.6667 0.3333 0.6956 1
Sb1 0.3333 0.6667 0.8370 1
I1 0.0000 0.0000 0.5299 1
I2 0.6667 0.3333 0.1807 1

---

# TmZnB4 (PBE, relaxed)
# Calculated total energy (eV per atom): -5.52
# Crystal system: hexagonal
# Distance to the lowest polymorph of the same formula (eV/atom): 0.092
data_TmZnB4
_symmetry_space_group_name_H-M 'P 6/m m m'
_symmetry_Int_Tables_number 191
_symmetry_space_group_name_Hall '-P 6 2'
_cell_length_a 3.1676
_cell_length_b 3.1676
_cell_length_c 7.0495
_cell_angle_alpha 90.00
_cell_angle_beta 90.00
_cell_angle_gamma 120.00
loop_
_atom_site_label
_atom_site_fract_x
_atom_site_fract_y
_atom_site_fract_z
_atom_site_occupancy
Tm1 0.0000 0.0000 0.0000 1
Zn1 0.0000 0.0000 0.5000 1
B1 0.3333 0.6667 0.2653 1

---

# Zn2BIr2 (PBE, relaxed)
# Calculated total energy (eV per atom): -5.68
# Crystal system: orthorhombic
data_Zn2BIr2
_symmetry_space_group_name_H-M 'C m c m'
_symmetry_Int_Tables_number 63
_symmetry_space_group_name_Hall '-C 2c 2'
_cell_length_a 2.835
_cell_length_b 26.751
_cell_length_c 10.285
_cell_angle_alpha 90.00
_cell_angle_beta 90.00
_cell_angle_gamma 90.00
loop_
_atom_site_label
_atom_site_fract_x
_atom_site_fract_y
_atom_site_fract_z
_atom_site_occupancy
Zn1 0.000 0.000 0.000 1
Zn2 0.000 0.089 0.120 1
Zn3 0.000 0.181 0.250 1
Zn4 0.000 0.239 0.611 1
B1 0.000 0.041 0.750 1
B2 0.000 0.138 0.606 1
Ir1 0.000 0.329 0.250 1
Ir2 0.000 0.331 0.531 1
Ir3 0.000 0.425 0.109 1
Ir4 0.000 0.481 0.750 1

---

# Y2Mo4Pd (PBE, relaxed)
# Calculated total energy (eV per atom): -8.35
# Formation energy (meV per atom): 439
# Crystal system: monoclinic
data_Y2Mo4Pd
_symmetry_space_group_name_H-M 'C 1 2/m 1'
_symmetry_Int_Tables_number 12
_symmetry_space_group_name_Hall '-C 2y'
_cell_length_a 7.338
_cell_length_b 13.175
_cell_length_c 3.168
_cell_angle_alpha 90.00
_cell_angle_beta 90.25
_cell_angle_gamma 90.00
loop_
_atom_site_label
_atom_site_fract_x
_atom_site_fract_y
_atom_site_fract_z
_atom_site_occupancy
Y1 0.250 0.250 0.000 1
Mo1 0.000 0.114 0.500 1
Mo2 0.198 0.000 0.998 1
Pd1 0.000 0.500 0.500 1

---

# MgGaFeIr (PBE, relaxed)
# Calculated total energy (eV per atom): -5.60
# Crystal system: cubic
# Distance to the lowest polymorph of the same formula (eV/atom): 0.000
data_MgGaFeIr
_symmetry_space_group_name_H-M 'F -4 3 m'
_symmetry_Int_Tables_number 216
_symmetry_space_group_name_Hall 'F -4 2 3'
_cell_length_a 6.066
_cell_length_b 6.066
_cell_length_c 6.066
_cell_angle_alpha 90.00
_cell_angle_beta 90.00
_cell_angle_gamma 90.00
loop_
_atom_site_label
_atom_site_fract_x
_atom_site_fract_y
_atom_site_fract_z
_atom_site_occupancy
Mg1 0.000 0.000 0.000 1
Ga1 0.000 0.000 0.500 1
Fe1 0.250 0.250 0.750 1
Ir1 0.250 0.250 0.250 1

---

# CsPrRe (PBE, relaxed)
# Calculated total energy (eV per atom): -4.07
# Crystal system: cubic
# Distance to the lowest polymorph of the same formula (eV/atom): 0.000
data_CsPrRe
_symmetry_space_group_name_H-M 'F -4 3 m'
_symmetry_Int_Tables_number 216
_symmetry_space_group_name_Hall 'F -4 2 3'
_cell_length_a 7.365
_cell_length_b 7.365
_cell_length_c 7.365
_cell_angle_alpha 90.00
_cell_angle_beta 90.00
_cell_angle_gamma 90.00
loop_
_atom_site_label
_atom_site_fract_x
_atom_site_fract_y
_atom_site_fract_z
_atom_site_occupancy
Cs1 0.000 0.000 0.000 1
Pr1 0.250 0.250 0.250 1
Re1 0.000 0.000 0.500 1

---

# TaTcPO (PBE, relaxed)
# Calculated total energy (eV per atom): -9.02
# Crystal system: tetragonal
# Distance to the lowest polymorph of the same formula (eV/atom): 0.000
data_TaTcPO
_symmetry_space_group_name_H-M 'P 4/n m m'
_symmetry_Int_Tables_number 129
_cell_length_a 3.678
_cell_length_b 3.678
_cell_length_c 7.625
_cell_angle_alpha 90.00
_cell_angle_beta 90.00
_cell_angle_gamma 90.00
loop_
_symmetry_equiv_pos_as_xyz
'x,y,z'
'-x,-y,-z'
'-y+1/2,x,z'
'y+1/2,-x,-z'
'-x+1/2,-y+1/2,z'
'x+1/2,y+1/2,-z'
'y,-x+1/2,z'
'-y,x+1/2,-z'
'x+1/2,-y,-z'
'-x+1/2,y,z'
'-y,-x,-z'
'y,x,z'
'-x,y+1/2,-z'
'x,-y+1/2,z'
'y+1/2,x+1/2,-z'
'-y+1/2,-x+1/2,z'
loop_
_atom_site_label
_atom_site_fract_x
_atom_site_fract_y
_atom_site_fract_z
_atom_site_occupancy
Ta1 0.250 0.250 0.168 1
Tc1 0.250 0.750 0.500 1
P1 0.250 0.250 0.702 1
O1 0.250 0.750 0.000 1

---

# RbSmPtSe3 (PBE, relaxed)
# Calculated total energy (eV per atom): -4.82
# Crystal system: orthorhombic
data_RbSmPtSe3
_symmetry_space_group_name_H-M 'C m c m'
_symmetry_Int_Tables_number 63
_symmetry_space_group_name_Hall '-C 2c 2'
_cell_length_a 4.163
_cell_length_b 16.637
_cell_length_c 10.315
_cell_angle_alpha 90.00
_cell_angle_beta 90.00
_cell_angle_gamma 90.00
loop_
_atom_site_label
_atom_site_fract_x
_atom_site_fract_y
_atom_site_fract_z
_atom_site_occupancy
Rb1 0.000 0.246 0.250 1
Sm1 0.000 0.000 0.000 1
Pt1 0.000 0.495 0.750 1
Se1 0.000 0.086 0.750 1
Se2 0.000 0.386 0.582 1

---

# Er4SnSN2 (PBE, relaxed)
# Calculated total energy (eV per atom): -6.91
# Crystal system: hexagonal
data_Er4SnSN2
_symmetry_space_group_name_H-M 'P -6 m 2'
_symmetry_Int_Tables_number 187
_symmetry_space_group_name_Hall 'P -6 2'
_cell_length_a 3.5273
_cell_length_b 3.5273
_cell_length_c 13.8377
_cell_angle_alpha 90.00
_cell_angle_beta 90.00
_cell_angle_gamma 120.00
loop_
_atom_site_label
_atom_site_fract_x
_atom_site_fract_y
_atom_site_fract_z
_atom_site_occupancy
Er1 0.0000 0.0000 0.1340 1
Er2 0.3333 0.6667 0.3205 1
Sn1 0.0000 0.0000 0.5000 1
S1 0.3333 0.6667 0.0000 1
N1 0.6667 0.3333 0.2262 1

---

# YLuCu2Ge2 (PBE, relaxed)
# Calculated total energy (eV per atom): -5.29
# Crystal system: trigonal
data_YLuCu2Ge2
_symmetry_space_group_name_H-M 'P 3 m 1'
_symmetry_Int_Tables_number 156
_symmetry_space_group_name_Hall 'P 3 -2"'
_cell_length_a 4.2312
_cell_length_b 4.2312
_cell_length_c 7.1937
_cell_angle_alpha 90.00
_cell_angle_beta 90.00
_cell_angle_gamma 120.00
loop_
_atom_site_label
_atom_site_fract_x
_atom_site_fract_y
_atom_site_fract_z
_atom_site_occupancy
Y1 0.0000 0.0000 0.0000 1
Lu1 0.0000 0.0000 0.5013 1
Cu1 0.3333 0.6667 0.7120 1
Cu2 0.6667 0.3333 0.2374 1
Ge1 0.3333 0.6667 0.2787 1
Ge2 0.6667 0.3333 0.7663 1

---

# YTeAuO (PBE, relaxed)
# Calculated total energy (eV per atom): -6.21
# Crystal system: tetragonal
# Distance to the lowest polymorph of the same formula (eV/atom): 0.028
data_YTeAuO
_symmetry_space_group_name_H-M 'P 4 b m'
_symmetry_Int_Tables_number 100
_symmetry_space_group_name_Hall 'P 4 -2ab'
_cell_length_a 5.688
_cell_length_b 5.688
_cell_length_c 10.167
_cell_angle_alpha 90.00
_cell_angle_beta 90.00
_cell_angle_gamma 90.00
loop_
_atom_site_label
_atom_site_fract_x
_atom_site_fract_y
_atom_site_fract_z
_atom_site_occupancy
Y1 0.000 0.000 0.000 1
Y2 0.000 0.500 0.212 1
Te1 0.000 0.000 0.393 1
Te2 0.000 0.500 0.826 1
Au1 0.184 0.316 0.596 1
O1 0.249 0.251 0.108 1

---

# HoTaGa (PBE, relaxed)
# Calculated total energy (eV per atom): -6.20
# Crystal system: cubic
# Distance to the lowest polymorph of the same formula (eV/atom): 0.000
data_HoTaGa
_symmetry_space_group_name_H-M 'F -4 3 m'
_symmetry_Int_Tables_number 216
_symmetry_space_group_name_Hall 'F -4 2 3'
_cell_length_a 6.486
_cell_length_b 6.486
_cell_length_c 6.486
_cell_angle_alpha 90.00
_cell_angle_beta 90.00
_cell_angle_gamma 90.00
loop_
_atom_site_label
_atom_site_fract_x
_atom_site_fract_y
_atom_site_fract_z
_atom_site_occupancy
Ho1 0.000 0.000 0.000 1
Ta1 0.000 0.000 0.500 1
Ga1 0.250 0.250 0.250 1

---

# Pr2Sc2CI2Cl3 (PBE, relaxed)
# Calculated total energy (eV per atom): -5.33
# Crystal system: monoclinic
# Distance to the lowest polymorph of the same formula (eV/atom): 0.099
data_Pr2Sc2CI2Cl3
_symmetry_space_group_name_H-M 'C 1 2/m 1'
_symmetry_Int_Tables_number 12
_symmetry_space_group_name_Hall '-C 2y'
_cell_length_a 17.832
_cell_length_b 3.802
_cell_length_c 7.989
_cell_angle_alpha 90.00
_cell_angle_beta 102.54
_cell_angle_gamma 90.00
loop_
_atom_site_label
_atom_site_fract_x
_atom_site_fract_y
_atom_site_fract_z
_atom_site_occupancy
Pr1 0.142 0.000 0.066 1
Sc1 0.002 0.500 0.809 1
C1 0.000 0.000 0.000 1
I1 0.160 0.500 0.378 1
Cl1 0.000 0.000 0.500 1
Cl2 0.154 0.500 0.810 1

---

# BeHgGePd (PBE, relaxed)
# Calculated total energy (eV per atom): -3.21
# Crystal system: cubic
# Distance to the lowest polymorph of the same formula (eV/atom): 0.000
data_BeHgGePd
_symmetry_space_group_name_H-M 'F -4 3 m'
_symmetry_Int_Tables_number 216
_symmetry_space_group_name_Hall 'F -4 2 3'
_cell_length_a 6.376
_cell_length_b 6.376
_cell_length_c 6.376
_cell_angle_alpha 90.00
_cell_angle_beta 90.00
_cell_angle_gamma 90.00
loop_
_atom_site_label
_atom_site_fract_x
_atom_site_fract_y
_atom_site_fract_z
_atom_site_occupancy
Be1 0.000 0.000 0.000 1
Hg1 0.250 0.250 0.750 1
Ge1 0.000 0.000 0.500 1
Pd1 0.250 0.250 0.250 1